1.
Entry from the Alexandria database: crystalline Ho8ErTm6 at its relaxed geometry (PBE-GGA).

Cell lengths 3.532, 9.383, 14.149 Å; angles 78.89, 82.88, 89.95 degrees
Space group P-1 (No. 2)
Unique sites:
Ho: 0.011 0.188 0.478 [2 per cell]
Ho: 0.189 0.212 0.122 [2 per cell]
Ho: 0.300 0.101 0.900 [2 per cell]
Ho: 0.389 0.611 0.723 [2 per cell]
Er: 0.500 0.500 0.500 [1 per cell]
Tm: 0.100 0.701 0.300 [2 per cell]
Tm: 0.211 0.588 0.077 [2 per cell]
Tm: 0.411 0.989 0.678 [2 per cell]

Calculated values
The formation energy comes out at 0.001 eV per atom. Its total magnetic moment is 0.0 μB per formula unit. The total DFT energy (no corrections) is -0.33318 Ry per atom. As for the energy above the most stable polymorph in this dataset: 0.0000 eV per atom.

---

2.
Entry from the Alexandria database: crystalline Ho4ErTm3 at its relaxed geometry (PBE-GGA).

Cell lengths 11.075, 7.168, 6.197 Å; angles 90.00, 90.00, 90.00 degrees
Space group Pmn2_1 (No. 31)
Unique sites:
Ho: 0.000 0.126 0.000 [2 per cell]
Ho: 0.000 0.874 0.500 [2 per cell]
Ho: 0.250 0.126 0.333 [4 per cell]
Er: 0.000 0.376 0.500 [2 per cell]
Tm: 0.000 0.624 0.000 [2 per cell]
Tm: 0.250 0.376 0.833 [4 per cell]

Calculated values
The formation energy comes out at -0.001 eV per atom. Its total magnetic moment is 0.0 μB per formula unit. The total DFT energy (no corrections) is -0.33347 Ry per atom. As for the energy above the most stable polymorph in this dataset: 0.0000 eV per atom.

---

3.
Entry from the Alexandria database: crystalline Ho2Er2Tm3 at its relaxed geometry (PBE-GGA).

Cell lengths 3.489, 7.826, 8.566 Å; angles 111.39, 90.22, 102.86 degrees
Space group P-1 (No. 2)
Unique sites:
Ho: 0.072 0.142 0.214 [2 per cell]
Er: 0.214 0.428 0.643 [2 per cell]
Tm: 0.357 0.714 0.071 [2 per cell]
Tm: 0.500 0.000 0.500 [1 per cell]

Calculated values
The formation energy comes out at 0.024 eV per atom. Its total magnetic moment is 0.0 μB per formula unit. The total DFT energy (no corrections) is -0.33101 Ry per atom.

---

4.
Entry from the Alexandria database: crystalline Ho4Er4Tm3 at its relaxed geometry (PBE-GGA).

Cell lengths 3.475, 5.507, 17.787 Å; angles 81.14, 84.41, 90.00 degrees
Space group P-1 (No. 2)
Unique sites:
Ho: 0.090 0.090 0.320 [2 per cell]
Ho: 0.233 0.733 0.034 [2 per cell]
Er: 0.045 0.545 0.409 [2 per cell]
Er: 0.180 0.180 0.140 [2 per cell]
Tm: 0.364 0.364 0.773 [2 per cell]
Tm: 0.500 0.000 0.500 [1 per cell]

Calculated values
The formation energy comes out at 0.063 eV per atom. Its total magnetic moment is 0.0 μB per formula unit. The total DFT energy (no corrections) is -0.32927 Ry per atom. As for the energy above the most stable polymorph in this dataset: 0.0000 eV per atom.

---

5.
Entry from the Alexandria database: crystalline Ho4ErTm6 at its relaxed geometry (PBE-GGA).

Cell lengths 7.491, 7.491, 12.974 Å; angles 90.00, 90.00, 90.00 degrees
Space group I-42m (No. 121)
Unique sites:
Ho: 0.168 0.168 0.422 [8 per cell]
Er: 0.000 0.000 0.000 [2 per cell]
Tm: 0.000 0.500 0.000 [4 per cell]
Tm: 0.241 0.241 0.183 [8 per cell]

Calculated values
The formation energy comes out at 0.471 eV per atom. Its total magnetic moment is 0.0 μB per formula unit. The total DFT energy (no corrections) is -0.29747 Ry per atom. As for the energy above the most stable polymorph in this dataset: 0.3400 eV per atom.

---

6.
Entry from the Alexandria database: crystalline Ho4Er7Tm at its relaxed geometry (PBE-GGA).

Cell lengths 11.913, 5.784, 12.535 Å; angles 90.00, 118.31, 90.00 degrees
Space group C2/m (No. 12)
Unique sites:
Ho: 0.061 0.000 0.321 [4 per cell]
Ho: 0.137 0.500 0.775 [4 per cell]
Er: 0.000 0.000 0.000 [2 per cell]
Er: 0.135 0.500 0.501 [4 per cell]
Er: 0.212 0.000 0.925 [4 per cell]
Er: 0.246 0.000 0.683 [4 per cell]
Tm: 0.000 0.500 0.000 [2 per cell]

Calculated values
The formation energy comes out at 0.305 eV per atom. Its total magnetic moment is 0.3 μB per formula unit. The total DFT energy (no corrections) is -0.31276 Ry per atom. As for the energy above the most stable polymorph in this dataset: 0.2121 eV per atom.

---

7.
Entry from the Alexandria database: crystalline HoEr12Tm6 at its relaxed geometry (PBE-GGA).

Cell lengths 11.6736, 11.6736, 15.0321 Å; angles 90.00, 90.00, 120.00 degrees
Space group R-3 (No. 148, hexagonal axes)
Unique sites:
Ho: 0.0000 0.0000 0.0000 [3 per cell]
Er: 0.0163 0.8343 0.1912 [18 per cell]
Er: 0.0408 0.8509 0.4155 [18 per cell]
Tm: 0.0104 0.4235 0.6792 [18 per cell]

Calculated values
The formation energy comes out at 0.163 eV per atom. Its total magnetic moment is 0.0 μB per formula unit. The total DFT energy (no corrections) is -0.32130 Ry per atom. As for the energy above the most stable polymorph in this dataset: 0.0000 eV per atom.

---

8.
Entry from the Alexandria database: crystalline Ho2Er5Tm3 at its relaxed geometry (PBE-GGA).

Cell lengths 10.524, 15.471, 9.338 Å; angles 90.00, 124.15, 90.00 degrees
Space group C2/c (No. 15)
Unique sites:
Ho: 0.143 0.124 0.047 [8 per cell]
Er: 0.000 0.230 0.250 [4 per cell]
Er: 0.000 0.273 0.750 [4 per cell]
Er: 0.000 0.472 0.750 [4 per cell]
Er: 0.238 0.382 0.227 [8 per cell]
Tm: 0.000 0.025 0.250 [4 per cell]
Tm: 0.155 0.379 0.548 [8 per cell]

Calculated values
The formation energy comes out at 0.205 eV per atom. Its total magnetic moment is 0.0 μB per formula unit. The total DFT energy (no corrections) is -0.31849 Ry per atom. As for the energy above the most stable polymorph in this dataset: 0.1506 eV per atom.

---

9.
Entry from the Alexandria database: crystalline Ho8ErTm5 at its relaxed geometry (PBE-GGA).

Cell lengths 9.441, 9.441, 9.964 Å; angles 90.00, 90.00, 90.00 degrees
Space group I-4 (No. 82)
Unique sites:
Ho: 0.070 0.176 0.155 [8 per cell]
Ho: 0.090 0.327 0.498 [8 per cell]
Er: 0.000 0.000 0.500 [2 per cell]
Tm: 0.000 0.500 0.250 [2 per cell]
Tm: 0.111 0.291 0.825 [8 per cell]

Calculated values
The formation energy comes out at 0.261 eV per atom. Its total magnetic moment is 0.0 μB per formula unit. The total DFT energy (no corrections) is -0.31444 Ry per atom.

---

10.
Entry from the Alexandria database: crystalline Ho4Er3Tm3 at its relaxed geometry (PBE-GGA).

Cell lengths 3.664, 12.946, 12.950 Å; angles 90.00, 90.00, 90.00 degrees
Space group Amm2 (No. 38)
Unique sites:
Ho: 0.000 0.000 0.000 [2 per cell]
Ho: 0.000 0.000 0.256 [2 per cell]
Ho: 0.000 0.128 0.628 [4 per cell]
Er: 0.500 0.000 0.457 [2 per cell]
Er: 0.500 0.171 0.128 [4 per cell]
Tm: 0.000 0.250 0.378 [4 per cell]
Tm: 0.500 0.000 0.799 [2 per cell]

Calculated values
The formation energy comes out at 0.098 eV per atom. Its total magnetic moment is 0.0 μB per formula unit. The total DFT energy (no corrections) is -0.32660 Ry per atom.

---

11.
Entry from the Alexandria database: crystalline HoEr3Tm4 at its relaxed geometry (PBE-GGA).

Cell lengths 5.521, 25.738, 3.506 Å; angles 90.00, 90.00, 90.00 degrees
Space group Cmmm (No. 65)
Unique sites:
Ho: 0.000 0.000 0.000 [2 per cell]
Er: 0.000 0.344 0.000 [4 per cell]
Er: 0.000 0.500 0.500 [2 per cell]
Tm: 0.000 0.104 0.500 [4 per cell]
Tm: 0.000 0.223 0.500 [4 per cell]

Calculated values
The formation energy comes out at 0.214 eV per atom. Its total magnetic moment is 0.0 μB per formula unit. The total DFT energy (no corrections) is -0.31642 Ry per atom. As for the energy above the most stable polymorph in this dataset: 0.2170 eV per atom.

---

12.
Entry from the Alexandria database: crystalline HoEr2Tm7 at its relaxed geometry (PBE-GGA).

Cell lengths 8.613, 16.787, 5.157 Å; angles 90.00, 90.00, 90.00 degrees
Space group Cmmm (No. 65)
Unique sites:
Ho: 0.000 0.000 0.000 [2 per cell]
Er: 0.000 0.299 0.500 [4 per cell]
Tm: 0.000 0.197 0.000 [4 per cell]
Tm: 0.000 0.500 0.500 [2 per cell]
Tm: 0.178 0.109 0.500 [8 per cell]

Calculated values
The formation energy comes out at 0.716 eV per atom. Its total magnetic moment is 0.0 μB per formula unit. The total DFT energy (no corrections) is -0.27818 Ry per atom. As for the energy above the most stable polymorph in this dataset: 0.6892 eV per atom.

---

13.
Entry from the Alexandria database: crystalline Ho4Er8Tm at its relaxed geometry (PBE-GGA).

Cell lengths 7.1793, 7.1793, 27.0738 Å; angles 90.00, 90.00, 120.00 degrees
Space group R-3m (No. 166, hexagonal axes)
Unique sites:
Ho: 0.0000 0.0000 0.0000 [3 per cell]
Ho: 0.0000 0.5000 0.0000 [9 per cell]
Er: 0.0000 0.0000 0.2150 [6 per cell]
Er: 0.0343 0.5171 0.7669 [18 per cell]
Tm: 0.0000 0.0000 0.5000 [3 per cell]

Calculated values
The formation energy comes out at 0.232 eV per atom. Its total magnetic moment is 0.0 μB per formula unit. The total DFT energy (no corrections) is -0.31817 Ry per atom.

---

14.
Entry from the Alexandria database: crystalline HoEr2Tm6 at its relaxed geometry (PBE-GGA).

Cell lengths 3.5396, 3.5396, 25.4691 Å; angles 90.00, 90.00, 120.00 degrees
Space group P-6m2 (No. 187)
Unique sites:
Ho: 0.0000 0.0000 0.0000 [1 per cell]
Er: 0.3333 0.6667 0.3266 [2 per cell]
Tm: 0.0000 0.0000 0.2177 [2 per cell]
Tm: 0.0000 0.0000 0.4344 [2 per cell]
Tm: 0.3333 0.6667 0.1094 [2 per cell]

Calculated values
The formation energy comes out at 0.044 eV per atom. Its total magnetic moment is 0.0 μB per formula unit. The total DFT energy (no corrections) is -0.32781 Ry per atom. As for the energy above the most stable polymorph in this dataset: 0.0175 eV per atom.

---

15.
Entry from the Alexandria database: crystalline Ho2Er5Tm6 at its relaxed geometry (PBE-GGA).

Cell lengths 11.447, 19.872, 3.517 Å; angles 90.00, 90.00, 90.00 degrees
Space group Pbam (No. 55)
Unique sites:
Ho: 0.167 0.210 0.000 [4 per cell]
Er: 0.000 0.500 0.500 [2 per cell]
Er: 0.090 0.773 0.500 [4 per cell]
Er: 0.198 0.050 0.500 [4 per cell]
Tm: 0.059 0.919 0.000 [4 per cell]
Tm: 0.083 0.631 0.000 [4 per cell]
Tm: 0.173 0.365 0.500 [4 per cell]

Calculated values
The formation energy comes out at 0.102 eV per atom. Its total magnetic moment is 0.0 μB per formula unit. The total DFT energy (no corrections) is -0.32497 Ry per atom.

---

16.
Entry from the Alexandria database: crystalline Ho6Er3Tm2 at its relaxed geometry (PBE-GGA).

Cell lengths 4.666, 4.666, 32.746 Å; angles 90.00, 90.00, 90.00 degrees
Space group I4/mmm (No. 139)
Unique sites:
Ho: 0.000 0.000 0.196 [4 per cell]
Ho: 0.000 0.500 0.121 [8 per cell]
Er: 0.000 0.000 0.300 [4 per cell]
Er: 0.000 0.000 0.500 [2 per cell]
Tm: 0.000 0.000 0.046 [4 per cell]

Calculated values
The formation energy comes out at 0.298 eV per atom. Its total magnetic moment is 0.0 μB per formula unit. The total DFT energy (no corrections) is -0.31286 Ry per atom. As for the energy above the most stable polymorph in this dataset: 0.2744 eV per atom.

---

17.
Entry from the Alexandria database: crystalline Ho2Er7Tm3 at its relaxed geometry (PBE-GGA).

Cell lengths 6.117, 5.413, 11.828 Å; angles 90.00, 91.52, 90.00 degrees
Space group P2/m (No. 10)
Unique sites:
Ho: 0.107 0.000 0.278 [2 per cell]
Er: 0.064 0.500 0.821 [2 per cell]
Er: 0.265 0.000 0.546 [2 per cell]
Er: 0.412 0.000 0.832 [2 per cell]
Er: 0.500 0.500 0.000 [1 per cell]
Tm: 0.000 0.000 0.000 [1 per cell]
Tm: 0.448 0.500 0.339 [2 per cell]

Calculated values
The formation energy comes out at 0.325 eV per atom. Its total magnetic moment is 0.0 μB per formula unit. The total DFT energy (no corrections) is -0.30995 Ry per atom. As for the energy above the most stable polymorph in this dataset: 0.2076 eV per atom.

---

18.
Entry from the Alexandria database: crystalline Ho5Er3Tm2 at its relaxed geometry (PBE-GGA).

Cell lengths 12.629, 16.775, 6.179 Å; angles 90.00, 90.00, 90.00 degrees
Space group Ibam (No. 72)
Unique sites:
Ho: 0.000 0.000 0.250 [4 per cell]
Ho: 0.099 0.157 0.000 [8 per cell]
Ho: 0.249 0.500 0.250 [8 per cell]
Er: 0.000 0.500 0.250 [4 per cell]
Er: 0.160 0.249 0.500 [8 per cell]
Tm: 0.098 0.343 0.000 [8 per cell]

Calculated values
The formation energy comes out at 0.363 eV per atom. Its total magnetic moment is 0.0 μB per formula unit. The total DFT energy (no corrections) is -0.30789 Ry per atom. As for the energy above the most stable polymorph in this dataset: 0.1575 eV per atom.